Version P
A plane-wave DFT calculation with PBE-GGA was carried out for a relaxed CuReTe2 crystal.

abc: 3.2127 3.2127 8.7371
angles: 90.00 90.00 116.81
Fractional coordinates of all 4 atoms:
1 Re 0.5000 0.5000 0.7500
2 Te 0.0000 0.0000 0.5023
3 Te 0.0000 0.0000 0.9977
4 Cu 0.5000 0.5000 0.2500

Computed properties:
Spin magnetization = 0.000 μB per formula unit

=====

Version Q
A plane-wave DFT calculation with PBE-GGA was carried out for a relaxed CuReTe2 crystal.

abc: 4.1586 4.1586 8.2816
angles: 106.31 106.31 47.83
Fractional coordinates of all 4 atoms:
1 Te 0.8910 0.8910 0.0636
2 Te 0.6090 0.6090 0.4364
3 Cu 0.7500 0.7500 0.7500
4 Re 0.2500 0.2500 0.2500

Computed properties:
Spin magnetization = 0.000 μB per formula unit

=====

Stability, lowest: version P

=====

Version P
A plane-wave DFT calculation with PBE-GGA was carried out for a relaxed CuReTe2 crystal.

abc: 5.9335 5.9335 7.3622
angles: 66.24 66.24 90.00
Fractional coordinates of all 8 atoms:
1 Cu 0.2500 0.7500 0.5000
2 Cu 0.5000 0.5000 0.0000
3 Te 0.3750 0.3728 0.7500
4 Te 0.1228 0.6250 0.2500
5 Te 0.8750 0.8772 0.7500
6 Te 0.6272 0.1250 0.2500
7 Re 0.7500 0.2500 0.5000
8 Re 0.0000 0.0000 0.0000

Computed properties:
Spin magnetization = 0.000 μB per formula unit

=====

Version Q
A plane-wave DFT calculation with PBE-GGA was carried out for a relaxed CuReTe2 crystal.

abc: 4.4041 4.4041 6.9616
angles: 78.93 78.93 45.79
Fractional coordinates of all 4 atoms:
1 Te 0.7651 0.7651 0.6183
2 Te 0.9819 0.9819 0.0996
3 Cu 0.5067 0.5067 0.4687
4 Re 0.2464 0.2464 0.3134

Computed properties:
Spin magnetization = 0.000 μB per formula unit

=====

Version R
A plane-wave DFT calculation with PBE-GGA was carried out for a relaxed CuReTe2 crystal.

abc: 4.7657 4.7657 3.3810
angles: 89.95 89.95 96.50
Fractional coordinates of all 4 atoms:
1 Cu 0.5000 0.0000 0.5000
2 Te 0.5000 0.5000 0.0000
3 Te 0.0000 0.0000 0.0000
4 Re 0.0000 0.5000 0.5000

Computed properties:
Spin magnetization = 0.000 μB per formula unit

=====

Stability, lowest: version R

=====

Version P
A plane-wave DFT calculation with PBE-GGA was carried out for a relaxed Tl2CuRe crystal.

abc: 3.3906 4.6921 4.6921
angles: 90.00 90.00 90.00
Fractional coordinates of all 4 atoms:
1 Cu 0.5000 0.5000 0.0000
2 Tl 0.0000 0.5000 0.5000
3 Tl 0.0000 0.0000 0.0000
4 Re 0.5000 0.0000 0.5000

Computed properties:
Spin magnetization = 0.000 μB per formula unit

=====

Version Q
A plane-wave DFT calculation with PBE-GGA was carried out for a relaxed Tl2CuRe crystal.

abc: 6.7103 6.7103 6.7103
angles: 154.92 138.16 49.40
Fractional coordinates of all 4 atoms:
1 Tl 0.7625 0.2625 0.5000
2 Tl 0.0433 0.0433 0.0000
3 Re 0.2587 0.7587 0.5000
4 Cu 0.4355 0.4355 0.0000

Computed properties:
Spin magnetization = 0.000 μB per formula unit

=====

Version R
A plane-wave DFT calculation with PBE-GGA was carried out for a relaxed Tl2CuRe crystal.

abc: 4.7921 4.7921 4.7921
angles: 60.00 60.00 60.00
Fractional coordinates of all 4 atoms:
1 Tl 0.2500 0.2500 0.2500
2 Tl 0.0000 0.0000 0.0000
3 Cu 0.5000 0.5000 0.5000
4 Re 0.7500 0.7500 0.7500

Computed properties:
Spin magnetization = 0.000 μB per formula unit

=====

Version S
A plane-wave DFT calculation with PBE-GGA was carried out for a relaxed Tl2CuRe crystal.

abc: 5.6011 5.6502 2.9790
angles: 74.66 90.11 119.75
Fractional coordinates of all 4 atoms:
1 Tl 0.0000 0.0000 0.0000
2 Tl 0.5000 0.0000 0.5000
3 Cu 0.0000 0.5000 0.5000
4 Re 0.5000 0.5000 0.0000

Computed properties:
Spin magnetization = 0.000 μB per formula unit

=====

Stability, lowest: version R

=====

Version P
A plane-wave DFT calculation with PBE-GGA was carried out for a relaxed Tl2CuRe crystal.

abc: 4.2549 3.5697 5.5320
angles: 71.16 90.00 90.00
Fractional coordinates of all 4 atoms:
1 Re 0.5000 0.5518 0.7709
2 Tl 0.0000 0.9806 0.9123
3 Tl 0.5000 0.2780 0.3213
4 Cu 0.0000 0.6896 0.4954

Computed properties:
Spin magnetization = 0.000 μB per formula unit

=====

Version Q
A plane-wave DFT calculation with PBE-GGA was carried out for a relaxed Tl2CuRe crystal.

abc: 2.9250 5.5312 4.8737
angles: 90.00 90.00 90.00
Fractional coordinates of all 4 atoms:
1 Cu 0.5000 0.0000 0.5000
2 Tl 0.5000 0.5000 0.0000
3 Tl 0.0000 0.0000 0.0000
4 Re 0.0000 0.5000 0.5000

Computed properties:
Spin magnetization = 0.000 μB per formula unit

=====

Version R
A plane-wave DFT calculation with PBE-GGA was carried out for a relaxed Tl2CuRe crystal.

abc: 4.7462 4.7462 4.7462
angles: 60.00 60.00 60.00
Fractional coordinates of all 4 atoms:
1 Tl 0.7500 0.7500 0.7500
2 Tl 0.2500 0.2500 0.2500
3 Cu 0.0000 0.0000 0.0000
4 Re 0.5000 0.5000 0.5000

Computed properties:
Spin magnetization = 0.000 μB per formula unit

=====

Version S
A plane-wave DFT calculation with PBE-GGA was carried out for a relaxed Tl2CuRe crystal.

abc: 4.2309 4.2309 9.9363
angles: 77.71 77.71 90.00
Fractional coordinates of all 8 atoms:
1 Tl 0.3750 0.3720 0.7500
2 Tl 0.8750 0.8780 0.7500
3 Tl 0.6280 0.1250 0.2500
4 Tl 0.1220 0.6250 0.2500
5 Cu 0.2500 0.7500 0.5000
6 Cu 0.5000 0.5000 0.0000
7 Re 0.7500 0.2500 0.5000
8 Re 0.0000 0.0000 0.0000

Computed properties:
Spin magnetization = 1.123 μB per formula unit

=====

Stability, lowest: version S

=====

Version P
A plane-wave DFT calculation with PBE-GGA was carried out for a relaxed TlCu2Re crystal.

abc: 2.7771 2.7771 8.6080
angles: 90.00 90.00 90.15
Fractional coordinates of all 4 atoms:
1 Re 0.5000 0.5000 0.2500
2 Tl 0.5000 0.5000 0.7500
3 Cu 0.0000 0.0000 0.0405
4 Cu 0.0000 0.0000 0.4595

Computed properties:
Spin magnetization = 0.000 μB per formula unit

=====

Version Q
A plane-wave DFT calculation with PBE-GGA was carried out for a relaxed TlCu2Re crystal.

abc: 3.9125 3.9125 9.6436
angles: 78.30 78.30 90.00
Fractional coordinates of all 8 atoms:
1 Re 0.2500 0.7500 0.5000
2 Re 0.5000 0.5000 0.0000
3 Tl 0.0000 0.0000 0.0000
4 Tl 0.7500 0.2500 0.5000
5 Cu 0.3750 0.4285 0.7500
6 Cu 0.8750 0.8215 0.7500
7 Cu 0.5715 0.1250 0.2500
8 Cu 0.1785 0.6250 0.2500

Computed properties:
Spin magnetization = 0.946 μB per formula unit

=====

Version R
A plane-wave DFT calculation with PBE-GGA was carried out for a relaxed TlCu2Re crystal.

abc: 4.8853 4.8853 2.7762
angles: 89.98 89.98 110.21
Fractional coordinates of all 4 atoms:
1 Cu 0.0000 0.0000 0.0000
2 Cu 0.5000 0.5000 0.0000
3 Re 0.5000 0.0000 0.5000
4 Tl 0.0000 0.5000 0.5000

Computed properties:
Spin magnetization = 0.000 μB per formula unit

=====

Version S
A plane-wave DFT calculation with PBE-GGA was carried out for a relaxed TlCu2Re crystal.

abc: 4.4872 4.4872 4.4872
angles: 60.00 60.00 60.00
Fractional coordinates of all 4 atoms:
1 Cu 0.0000 0.0000 0.0000
2 Cu 0.2500 0.2500 0.2500
3 Tl 0.7500 0.7500 0.7500
4 Re 0.5000 0.5000 0.5000

Computed properties:
Spin magnetization = 1.481 μB per formula unit

=====

Stability, lowest: version Q

=====

Version P
A plane-wave DFT calculation with PBE-GGA was carried out for a relaxed TlCu2Re crystal.

abc: 4.2409 2.7925 5.4305
angles: 75.15 90.00 90.00
Fractional coordinates of all 4 atoms:
1 Tl 0.5000 0.8017 0.7692
2 Re 0.0000 0.4602 0.4547
3 Cu 0.0000 0.1801 0.0124
4 Cu 0.5000 0.0579 0.2637

Computed properties:
Spin magnetization = 0.000 μB per formula unit

=====

Version Q
A plane-wave DFT calculation with PBE-GGA was carried out for a relaxed TlCu2Re crystal.

abc: 4.7245 4.7245 4.7245
angles: 128.72 128.72 75.47
Fractional coordinates of all 4 atoms:
1 Cu 0.5000 0.5000 0.0000
2 Cu 0.0000 0.0000 0.0000
3 Tl 0.7500 0.2500 0.5000
4 Re 0.2500 0.7500 0.5000

Computed properties:
Spin magnetization = 1.361 μB per formula unit

=====

Stability, lowest: version Q